Entry 1:
Density functional theory data (GGA-PBE) for a relaxed structure of LaTlCo3.

CIF file:
```
data_LaTlCo3
_space_group_name_H-M_alt 'P 1'
_space_group_IT_number 1
_cell_length_a 4.829
_cell_length_b 4.829
_cell_length_c 4.829
_cell_angle_alpha 90.00
_cell_angle_beta 90.00
_cell_angle_gamma 90.00
loop_
_space_group_symop_operation_xyz
'x,y,z'
loop_
_atom_site_label
_atom_site_type_symbol
_atom_site_fract_x
_atom_site_fract_y
_atom_site_fract_z
La1 La 0.000 0.000 0.000
Tl1 Tl 0.500 0.500 0.500
Co1 Co 0.000 0.500 0.500
Co2 Co 0.500 0.000 0.500
Co3 Co 0.500 0.500 0.000
```

Summary:
- Excess energy over the best structure of this formula in the dataset: 0.00 kcal/mol of atoms

=====

Entry 2:
Density functional theory data (GGA-PBE) for a relaxed structure of LaTl4Co.

CIF file:
```
data_LaTl4Co
_space_group_name_H-M_alt 'P 1'
_space_group_IT_number 1
_cell_length_a 6.216
_cell_length_b 6.216
_cell_length_c 6.216
_cell_angle_alpha 60.00
_cell_angle_beta 60.00
_cell_angle_gamma 60.00
loop_
_space_group_symop_operation_xyz
'x,y,z'
loop_
_atom_site_label
_atom_site_type_symbol
_atom_site_fract_x
_atom_site_fract_y
_atom_site_fract_z
La1 La 0.000 0.000 0.000
Tl1 Tl 0.126 0.625 0.625
Tl2 Tl 0.625 0.126 0.625
Tl3 Tl 0.625 0.625 0.126
Tl4 Tl 0.625 0.625 0.625
Co1 Co 0.250 0.250 0.250
```

=====

Entry 3:
Density functional theory data (GGA-PBE) for a relaxed structure of LaTl2Co2.

CIF file:
```
data_LaTl2Co2
_space_group_name_H-M_alt 'P 1'
_space_group_IT_number 1
_cell_length_a 6.325
_cell_length_b 6.325
_cell_length_c 6.325
_cell_angle_alpha 138.77
_cell_angle_beta 138.77
_cell_angle_gamma 59.72
loop_
_space_group_symop_operation_xyz
'x,y,z'
loop_
_atom_site_label
_atom_site_type_symbol
_atom_site_fract_x
_atom_site_fract_y
_atom_site_fract_z
La1 La 0.000 0.000 0.000
Tl1 Tl 0.366 0.366 0.000
Tl2 Tl 0.634 0.634 0.000
Co1 Co 0.250 0.750 0.500
Co2 Co 0.750 0.250 0.500
```

Summary:
- Excess energy over the best structure of this formula in the dataset: 2.64 kcal/mol of atoms

=====

Entry 4:
Density functional theory data (GGA-PBE) for a relaxed structure of La3Tl2Co.

CIF file:
```
data_La3Tl2Co
_space_group_name_H-M_alt 'P 1'
_space_group_IT_number 1
_cell_length_a 9.076
_cell_length_b 9.076
_cell_length_c 3.848
_cell_angle_alpha 90.10
_cell_angle_beta 90.10
_cell_angle_gamma 33.86
loop_
_space_group_symop_operation_xyz
'x,y,z'
loop_
_atom_site_label
_atom_site_type_symbol
_atom_site_fract_x
_atom_site_fract_y
_atom_site_fract_z
La1 La 0.000 0.000 0.000
La2 La 0.374 0.374 0.500
La3 La 0.626 0.626 0.500
Tl1 Tl 0.196 0.196 0.999
Tl2 Tl 0.804 0.804 0.001
Co1 Co 0.500 0.500 0.000
```

=====

Entry 5:
Density functional theory data (GGA-PBE) for a relaxed structure of La9Tl3Co2.

CIF file:
```
data_La9Tl3Co2
_space_group_name_H-M_alt 'P 1'
_space_group_IT_number 1
_cell_length_a 7.441
_cell_length_b 7.441
_cell_length_c 9.154
_cell_angle_alpha 90.00
_cell_angle_beta 90.00
_cell_angle_gamma 120.00
loop_
_space_group_symop_operation_xyz
'x,y,z'
loop_
_atom_site_label
_atom_site_type_symbol
_atom_site_fract_x
_atom_site_fract_y
_atom_site_fract_z
La1 La 0.000 0.500 0.000
La2 La 0.164 0.328 0.665
La3 La 0.164 0.836 0.665
La4 La 0.328 0.164 0.335
La5 La 0.500 0.000 0.000
La6 La 0.500 0.500 0.000
La7 La 0.672 0.836 0.665
La8 La 0.836 0.164 0.335
La9 La 0.836 0.672 0.335
Tl1 Tl 0.000 0.000 0.000
Tl2 Tl 0.333 0.667 0.340
Tl3 Tl 0.667 0.333 0.660
Co1 Co 0.333 0.667 0.823
Co2 Co 0.667 0.333 0.177
```

=====

Entry 6:
Density functional theory data (GGA-PBE) for a relaxed structure of LaTlCo.

CIF file:
```
data_LaTlCo
_space_group_name_H-M_alt 'P 1'
_space_group_IT_number 1
_cell_length_a 6.464
_cell_length_b 6.464
_cell_length_c 6.464
_cell_angle_alpha 149.74
_cell_angle_beta 149.74
_cell_angle_gamma 43.33
loop_
_space_group_symop_operation_xyz
'x,y,z'
loop_
_atom_site_label
_atom_site_type_symbol
_atom_site_fract_x
_atom_site_fract_y
_atom_site_fract_z
La1 La 0.000 0.000 0.000
Tl1 Tl 0.723 0.723 0.000
Co1 Co 0.353 0.353 0.000
```

=====

no.,total magnetization (Bohr magnetons per cell),formation enthalpy at 0 K (eV/f.u.)
1,3.7,4.728
2,1.7,2.509
3,0.0,1.039
4,0.0,-1.604
5,0.0,-3.524
6,0.5,0.156